The following is a GGA-PBE calculation of a relaxed structure of Sr2Cu4SnAs3, from Alexandria via LeMat-Bulk.

As for the energy relative to the elements: -0.504 eV/atom. The value obtained for the theoretical density is 6.448 g/cm3.

abc: 4.328 4.328 10.626
angles: 90.00 90.00 90.00
Space group P-4m2 (No. 115)
Symmetry-distinct sites (fractional):
Sr 0.000 0.500 0.233
Cu 0.000 0.000 0.000
Cu 0.000 0.500 0.645
Cu 0.500 0.500 0.000
Sn 0.000 0.000 0.500
As 0.000 0.500 0.874
As 0.500 0.500 0.500